# 1
LiCa2Y PBE relaxed; magnetic moment = 0.000 μB/atom; crystal system = tetragonal; calculated volume = 34.52 Å³/atom; formation energy from the elements = 204 meV/atom; space-group type = I-4m2 (119)
1.0
-2.399 -5.950 -0.889
4.601 -4.492 -0.782
-1.040 4.669 4.368
Ca Li Y
2 1 1
Direct
0.250 0.750 0.500 Ca
0.000 0.000 0.000 Ca
0.500 0.500 0.000 Li
0.750 0.250 0.500 Y

---

# 2
Ba2In3Pt4Pb PBE relaxed; magnetic moment = 0.000 μB/atom; crystal system = tetragonal; calculated volume = 25.61 Å³/atom; formation energy from the elements = -640 meV/atom; space-group type = P-4m2 (115)
1.0
-2.646 -2.636 3.160
3.900 -0.409 2.925
-2.868 8.969 5.080
Ba Pt In Pb
2 4 3 1
Direct
0.500 0.000 0.235 Ba
0.000 0.500 0.765 Ba
0.000 0.000 0.000 Pt
0.500 0.500 0.000 Pt
0.000 0.500 0.371 Pt
0.500 0.000 0.629 Pt
0.000 0.500 0.117 In
0.000 0.000 0.500 In
0.500 0.000 0.883 In
0.500 0.500 0.500 Pb

---

| no. | DOS at the Fermi energy (states/eV/cell) |
| --- | --- |
| 1 | 6.10 |
| 2 | 4.08 |